1.
## PrSc2Br (PBE)

Data for a geometry-optimized PrSc2Br structure.

a = 3.3883 Å, b = 3.3883 Å, c = 32.2965 Å
α = 90.00°, β = 90.00°, γ = 120.00°
Space group R-3m (No. 166, hexagonal axes)
Symmetry-distinct sites (fractional):
Pr  0.0000  0.0000  0.0000 [3 per cell]
Sc  0.0000  0.0000  0.0994 [6 per cell]
Br  0.0000  0.0000  0.5000 [3 per cell]

2.
## Pr2SeBr (PBE)

Data for a geometry-optimized Pr2SeBr structure.

## Properties
**Polymorph energy (0 for the lowest one)**: 0.0106 eV per atom

a = 4.0596 Å, b = 4.0596 Å, c = 24.1004 Å
α = 90.00°, β = 90.00°, γ = 120.00°
Space group R3m (No. 160, hexagonal axes)
Symmetry-distinct sites (fractional):
Pr  0.0000  0.0000  0.0000 [3 per cell]
Pr  0.0000  0.0000  0.1882 [3 per cell]
Se  0.0000  0.0000  0.5930 [3 per cell]
Br  0.0000  0.0000  0.4269 [3 per cell]

3.
## Pr2SeBr (PBE)

Data for a geometry-optimized Pr2SeBr structure.

## Properties
**Polymorph energy (0 for the lowest one)**: 0.0000 eV per atom

a = 4.1555 Å, b = 4.1555 Å, c = 23.2134 Å
α = 90.00°, β = 90.00°, γ = 120.00°
Space group R-3m (No. 166, hexagonal axes)
Symmetry-distinct sites (fractional):
Pr  0.0000  0.0000  0.2370 [6 per cell]
Se  0.0000  0.0000  0.5000 [3 per cell]
Br  0.0000  0.0000  0.0000 [3 per cell]

Formation energy without anion corrections readings, ordered: -0.1490 -1.4666 -1.4772 eV/atom
D(E_F) readings, ordered: 1.842 0.761 0.393 states/eV/atom